Below is crystalline WAuCl2F at its relaxed geometry, with properties calculated at the PBE+U level.

Calculated values
- size of the total moment (μB per formula unit) = 2.76
- raw total energy (Ha/atom) = -0.13884
- density of states at the Fermi level (states/eV/cell) = 3.785
- theoretical density (g/cm³) = 7.1

Lattice parameters (Å, degrees): 5.0940 5.0940 4.2198 90.00 90.00 90.00
Space group P4/mmm (No. 123)
Symmetry-distinct sites (fractional):
1 W 0.0000 0.0000 0.0000 (multiplicity 1)
2 Au 0.5000 0.5000 0.5000 (multiplicity 1)
3 Cl 0.0000 0.5000 0.0000 (multiplicity 2)
4 F 0.0000 0.0000 0.5000 (multiplicity 1)